TlTcMo2N after structural relaxation. Source: Alexandria, functional GGA-PBE.

```
data_TlTcMo2N
_cell_length_a 4.663
_cell_length_b 4.663
_cell_length_c 5.212
_cell_angle_alpha 90.00
_cell_angle_beta 90.00
_cell_angle_gamma 90.00
_space_group_name_H-M_alt 'P 4/m m m'
_space_group_IT_number 123
_space_group_name_Hall '-P 4 2'
loop_
_atom_site_label
_atom_site_type_symbol
_atom_site_fract_x
_atom_site_fract_y
_atom_site_fract_z
Tl1 Tl 0.000 0.000 0.000
Tc1 Tc 0.000 0.000 0.500
Mo1 Mo 0.000 0.500 0.500
N1 N 0.500 0.500 0.000
```

Calculated values
**DFT total energy**: -30.45 eV for the cell shown
**Theoretical density**: 7.4 g/cm³

***

Tb4HoTmS8 after structural relaxation. Source: Alexandria, functional GGA-PBE.

```
data_Tb4HoTmS8
_cell_length_a 8.0542
_cell_length_b 8.0542
_cell_length_c 19.6768
_cell_angle_alpha 90.00
_cell_angle_beta 90.00
_cell_angle_gamma 120.00
_space_group_name_H-M_alt 'R 3 m'
_space_group_IT_number 160
_space_group_name_Hall 'R 3 -2"'
loop_
_atom_site_label
_atom_site_type_symbol
_atom_site_fract_x
_atom_site_fract_y
_atom_site_fract_z
Tb1 Tb 0.0000 0.0000 0.0000
Tb2 Tb 0.1669 0.3338 0.2089
Ho1 Ho 0.0000 0.0000 0.7512
Tm1 Tm 0.0000 0.0000 0.3759
S1 S 0.0000 0.0000 0.1326
S2 S 0.0000 0.0000 0.6197
S3 S 0.0213 0.5107 0.1262
S4 S 0.1788 0.3576 0.9581
```

Calculated values
**DFT total energy**: -262.89 eV for the cell shown
**Theoretical density**: 5.5 g/cm³

***

ZnSbOs2 after structural relaxation. Source: Alexandria, functional GGA-PBE.

```
data_ZnSbOs2
_cell_length_a 2.881
_cell_length_b 5.012
_cell_length_c 9.899
_cell_angle_alpha 90.00
_cell_angle_beta 90.00
_cell_angle_gamma 90.00
_space_group_name_H-M_alt 'C m m 2'
_space_group_IT_number 35
_space_group_name_Hall 'C 2 -2'
loop_
_atom_site_label
_atom_site_type_symbol
_atom_site_fract_x
_atom_site_fract_y
_atom_site_fract_z
Zn1 Zn 0.000 0.000 0.000
Sb1 Sb 0.000 0.500 0.309
Os1 Os 0.000 0.000 0.560
Os2 Os 0.000 0.500 0.776
```

Calculated values
**DFT total energy**: -49.96 eV for the cell shown
**Theoretical density**: 13.2 g/cm³

***

ErTmAlPd after structural relaxation. Source: Alexandria, functional GGA-PBE.

```
data_ErTmAlPd
_cell_length_a 4.446
_cell_length_b 3.725
_cell_length_c 11.023
_cell_angle_alpha 90.00
_cell_angle_beta 90.00
_cell_angle_gamma 90.00
_space_group_name_H-M_alt 'A m m 2'
_space_group_IT_number 38
_space_group_name_Hall 'A 2 -2'
loop_
_atom_site_label
_atom_site_type_symbol
_atom_site_fract_x
_atom_site_fract_y
_atom_site_fract_z
Er1 Er 0.000 0.000 0.000
Tm1 Tm 0.500 0.000 0.295
Al1 Al 0.000 0.000 0.719
Pd1 Pd 0.500 0.000 0.576
```

Calculated values
**DFT total energy**: -41.06 eV for the cell shown
**Theoretical density**: 8.5 g/cm³
**DFT formation energy**: -247 kJ/mol of formula units

***

Ba2LiCl after structural relaxation. Source: Alexandria, functional GGA-PBE.

```
data_Ba2LiCl
_cell_length_a 4.405
_cell_length_b 6.335
_cell_length_c 6.338
_cell_angle_alpha 90.00
_cell_angle_beta 90.07
_cell_angle_gamma 90.00
_space_group_name_H-M_alt 'P 1 m 1'
_space_group_IT_number 6
_space_group_name_Hall 'P -2y'
loop_
_atom_site_label
_atom_site_type_symbol
_atom_site_fract_x
_atom_site_fract_y
_atom_site_fract_z
Ba1 Ba 0.000 0.000 0.000
Ba2 Ba 0.004 0.500 0.500
Li1 Li 0.502 0.000 0.500
Cl1 Cl 0.004 0.500 0.000
```

Calculated values
**DFT total energy**: -10.78 eV for the cell shown
**Theoretical density**: 3.0 g/cm³

***

Er4Zn3Hg after structural relaxation. Source: Alexandria, functional GGA-PBE.

```
data_Er4Zn3Hg
_cell_length_a 3.699
_cell_length_b 4.543
_cell_length_c 11.229
_cell_angle_alpha 90.00
_cell_angle_beta 90.00
_cell_angle_gamma 90.00
_space_group_name_H-M_alt 'P m m 2'
_space_group_IT_number 25
_space_group_name_Hall 'P 2 -2'
loop_
_atom_site_label
_atom_site_type_symbol
_atom_site_fract_x
_atom_site_fract_y
_atom_site_fract_z
Er1 Er 0.000 0.000 0.000
Er2 Er 0.000 0.500 0.296
Er3 Er 0.500 0.000 0.488
Er4 Er 0.500 0.500 0.802
Zn1 Zn 0.000 0.500 0.565
Zn2 Zn 0.500 0.000 0.217
Zn3 Zn 0.500 0.500 0.075
Hg1 Hg 0.000 0.000 0.721
```

Calculated values
**DFT total energy**: -25.01 eV for the cell shown
**Theoretical density**: 9.4 g/cm³
**DFT formation energy**: -254 kJ/mol of formula units

***

LaPrCl2 after structural relaxation. Source: Alexandria, functional GGA-PBE.

```
data_LaPrCl2
_cell_length_a 3.6918
_cell_length_b 3.6918
_cell_length_c 29.8299
_cell_angle_alpha 90.00
_cell_angle_beta 90.00
_cell_angle_gamma 120.00
_space_group_name_H-M_alt 'R -3 m'
_space_group_IT_number 166
_space_group_name_Hall '-R 3 2"'
loop_
_atom_site_label
_atom_site_type_symbol
_atom_site_fract_x
_atom_site_fract_y
_atom_site_fract_z
La1 La 0.0000 0.0000 0.0000
Pr1 Pr 0.0000 0.0000 0.5000
Cl1 Cl 0.0000 0.0000 0.0976
```

Calculated values
**DFT total energy**: -56.73 eV for the cell shown
**Theoretical density**: 5.0 g/cm³

***

InGa2Sn2 after structural relaxation. Source: Alexandria, functional GGA-PBE.

```
data_InGa2Sn2
_cell_length_a 8.476
_cell_length_b 8.476
_cell_length_c 3.419
_cell_angle_alpha 90.00
_cell_angle_beta 90.00
_cell_angle_gamma 90.00
_space_group_name_H-M_alt 'P 4/m b m'
_space_group_IT_number 127
_space_group_name_Hall '-P 4 2ab'
loop_
_atom_site_label
_atom_site_type_symbol
_atom_site_fract_x
_atom_site_fract_y
_atom_site_fract_z
In1 In 0.000 0.000 0.000
Ga1 Ga 0.142 0.358 0.000
Sn1 Sn 0.153 0.653 0.500
```

Calculated values
**DFT total energy**: -33.00 eV for the cell shown
**Theoretical density**: 6.6 g/cm³
**DFT formation energy**: 29 kJ/mol of formula units

***

Cs4Pm3InO8 after structural relaxation. Source: Alexandria, functional GGA-PBE.

```
data_Cs4Pm3InO8
_cell_length_a 7.2509
_cell_length_b 7.2509
_cell_length_c 20.7358
_cell_angle_alpha 90.00
_cell_angle_beta 90.00
_cell_angle_gamma 120.00
_space_group_name_H-M_alt 'R -3 m'
_space_group_IT_number 166
_space_group_name_Hall '-R 3 2"'
loop_
_atom_site_label
_atom_site_type_symbol
_atom_site_fract_x
_atom_site_fract_y
_atom_site_fract_z
Cs1 Cs 0.0000 0.0000 0.0000
Cs2 Cs 0.0000 0.5000 0.0000
Pm1 Pm 0.0000 0.5000 0.5000
In1 In 0.0000 0.0000 0.5000
O1 O 0.0000 0.0000 0.2223
O2 O 0.0084 0.5042 0.2231
```

Calculated values
**DFT total energy**: -286.68 eV for the cell shown
**Theoretical density**: 6.4 g/cm³

***

SrOs3 after structural relaxation. Source: Alexandria, functional GGA-PBE.

```
data_SrOs3
_cell_length_a 2.849
_cell_length_b 2.849
_cell_length_c 8.693
_cell_angle_alpha 90.00
_cell_angle_beta 90.00
_cell_angle_gamma 90.00
_space_group_name_H-M_alt 'P 4/m m m'
_space_group_IT_number 123
_space_group_name_Hall '-P 4 2'
loop_
_atom_site_label
_atom_site_type_symbol
_atom_site_fract_x
_atom_site_fract_y
_atom_site_fract_z
Sr1 Sr 0.000 0.000 0.000
Os1 Os 0.000 0.000 0.500
Os2 Os 0.500 0.500 0.297
```

Calculated values
**DFT total energy**: -32.69 eV for the cell shown
**Theoretical density**: 15.5 g/cm³
**DFT formation energy**: 259 kJ/mol of formula units

***

Tl2SiSe after structural relaxation. Source: Alexandria, functional GGA-PBE.

```
data_Tl2SiSe
_cell_length_a 3.5473
_cell_length_b 3.5473
_cell_length_c 28.8874
_cell_angle_alpha 90.00
_cell_angle_beta 90.00
_cell_angle_gamma 120.00
_space_group_name_H-M_alt 'R 3 m'
_space_group_IT_number 160
_space_group_name_Hall 'R 3 -2"'
loop_
_atom_site_label
_atom_site_type_symbol
_atom_site_fract_x
_atom_site_fract_y
_atom_site_fract_z
Tl1 Tl 0.0000 0.0000 0.0000
Tl2 Tl 0.0000 0.0000 0.2347
Si1 Si 0.0000 0.0000 0.4848
Se1 Se 0.0000 0.0000 0.7683
```

Calculated values
**DFT total energy**: -40.68 eV for the cell shown
**Theoretical density**: 8.2 g/cm³

***

La3Rh after structural relaxation. Source: Alexandria, functional GGA-PBE.

```
data_La3Rh
_cell_length_a 12.144
_cell_length_b 12.144
_cell_length_c 6.601
_cell_angle_alpha 90.00
_cell_angle_beta 90.00
_cell_angle_gamma 90.00
_space_group_name_H-M_alt 'P 42/n'
_space_group_IT_number 86
loop_
_space_group_symop_operation_xyz
'x,y,z'
'-x,-y,-z'
'-y,x+1/2,z+1/2'
'y,-x+1/2,-z+1/2'
'-x+1/2,-y+1/2,z'
'x+1/2,y+1/2,-z'
'y+1/2,-x,z+1/2'
'-y+1/2,x,-z+1/2'
loop_
_atom_site_label
_atom_site_type_symbol
_atom_site_fract_x
_atom_site_fract_y
_atom_site_fract_z
La1 La 0.038 0.595 0.193
La2 La 0.117 0.673 0.696
La3 La 0.124 0.184 0.015
Rh1 Rh 0.070 0.173 0.497
```

Calculated values
**DFT total energy**: -189.57 eV for the cell shown
**Theoretical density**: 7.1 g/cm³
**DFT formation energy**: -151 kJ/mol of formula units

***

YPbF2 after structural relaxation. Source: Alexandria, functional GGA-PBE.

```
data_YPbF2
_cell_length_a 6.647
_cell_length_b 6.647
_cell_length_c 6.647
_cell_angle_alpha 90.00
_cell_angle_beta 90.00
_cell_angle_gamma 90.00
_space_group_name_H-M_alt 'F m -3 m'
_space_group_IT_number 225
_space_group_name_Hall '-F 4 2 3'
loop_
_atom_site_label
_atom_site_type_symbol
_atom_site_fract_x
_atom_site_fract_y
_atom_site_fract_z
Y1 Y 0.000 0.000 0.000
Pb1 Pb 0.000 0.000 0.500
F1 F 0.250 0.250 0.250
```

Calculated values
**DFT total energy**: -81.56 eV for the cell shown
**Theoretical density**: 7.6 g/cm³

***

AlV after structural relaxation. Source: Alexandria, functional GGA-PBE.

```
data_AlV
_cell_length_a 7.887
_cell_length_b 7.887
_cell_length_c 7.887
_cell_angle_alpha 90.00
_cell_angle_beta 90.00
_cell_angle_gamma 90.00
_space_group_name_H-M_alt 'I -4 3 m'
_space_group_IT_number 217
_space_group_name_Hall 'I -4 2 3'
loop_
_atom_site_label
_atom_site_type_symbol
_atom_site_fract_x
_atom_site_fract_y
_atom_site_fract_z
Al1 Al 0.202 0.202 0.202
V1 V 0.107 0.107 0.893
```

Calculated values
**DFT total energy**: -83.18 eV for the cell shown
**Theoretical density**: 2.1 g/cm³
**DFT formation energy**: 238 kJ/mol of formula units

***

Ba2MgGaH after structural relaxation. Source: Alexandria, functional GGA-PBE.

```
data_Ba2MgGaH
_cell_length_a 5.757
_cell_length_b 5.757
_cell_length_c 4.416
_cell_angle_alpha 90.00
_cell_angle_beta 90.00
_cell_angle_gamma 90.00
_space_group_name_H-M_alt 'P 4/m m m'
_space_group_IT_number 123
_space_group_name_Hall '-P 4 2'
loop_
_atom_site_label
_atom_site_type_symbol
_atom_site_fract_x
_atom_site_fract_y
_atom_site_fract_z
Ba1 Ba 0.000 0.500 0.000
Mg1 Mg 0.000 0.000 0.500
Ga1 Ga 0.500 0.500 0.500
H1 H 0.500 0.500 0.000
```

Calculated values
**DFT total energy**: -12.70 eV for the cell shown
**Theoretical density**: 4.2 g/cm³

***

ReTc2P after structural relaxation. Source: Alexandria, functional GGA-PBE.

```
data_ReTc2P
_cell_length_a 2.879
_cell_length_b 2.879
_cell_length_c 6.622
_cell_angle_alpha 90.00
_cell_angle_beta 90.00
_cell_angle_gamma 90.00
_space_group_name_H-M_alt 'P 4/m m m'
_space_group_IT_number 123
_space_group_name_Hall '-P 4 2'
loop_
_atom_site_label
_atom_site_type_symbol
_atom_site_fract_x
_atom_site_fract_y
_atom_site_fract_z
Re1 Re 0.000 0.000 0.000
Tc1 Tc 0.500 0.500 0.281
P1 P 0.000 0.000 0.500
```

Calculated values
**DFT total energy**: -39.55 eV for the cell shown
**Theoretical density**: 12.5 g/cm³
**DFT formation energy**: -92 kJ/mol of formula units

***

SrBe2Os after structural relaxation. Source: Alexandria, functional GGA-PBE.

```
data_SrBe2Os
_cell_length_a 3.208
_cell_length_b 3.208
_cell_length_c 6.736
_cell_angle_alpha 90.00
_cell_angle_beta 90.00
_cell_angle_gamma 90.00
_space_group_name_H-M_alt 'P 4 m m'
_space_group_IT_number 99
_space_group_name_Hall 'P 4 -2'
loop_
_atom_site_label
_atom_site_type_symbol
_atom_site_fract_x
_atom_site_fract_y
_atom_site_fract_z
Sr1 Sr 0.000 0.000 0.000
Be1 Be 0.000 0.000 0.561
Be2 Be 0.500 0.500 0.343
Os1 Os 0.500 0.500 0.652
```

Calculated values
**DFT total energy**: -18.78 eV for the cell shown
**Theoretical density**: 7.1 g/cm³
**DFT formation energy**: 153 kJ/mol of formula units

***

BaGe3S after structural relaxation. Source: Alexandria, functional GGA-PBE.

```
data_BaGe3S
_cell_length_a 5.116
_cell_length_b 5.116
_cell_length_c 5.116
_cell_angle_alpha 90.00
_cell_angle_beta 90.00
_cell_angle_gamma 90.00
_space_group_name_H-M_alt 'P m -3 m'
_space_group_IT_number 221
_space_group_name_Hall '-P 4 2 3'
loop_
_atom_site_label
_atom_site_type_symbol
_atom_site_fract_x
_atom_site_fract_y
_atom_site_fract_z
Ba1 Ba 0.000 0.000 0.000
Ge1 Ge 0.000 0.500 0.500
S1 S 0.500 0.500 0.500
```

Calculated values
**DFT total energy**: -19.77 eV for the cell shown
**Theoretical density**: 4.8 g/cm³

***

CrFe2B2 after structural relaxation. Source: Alexandria, functional GGA-PBE.

```
data_CrFe2B2
_cell_length_a 5.621
_cell_length_b 5.621
_cell_length_c 2.764
_cell_angle_alpha 90.00
_cell_angle_beta 90.00
_cell_angle_gamma 90.00
_space_group_name_H-M_alt 'P 4/m b m'
_space_group_IT_number 127
_space_group_name_Hall '-P 4 2ab'
loop_
_atom_site_label
_atom_site_type_symbol
_atom_site_fract_x
_atom_site_fract_y
_atom_site_fract_z
Cr1 Cr 0.000 0.000 0.000
Fe1 Fe 0.174 0.326 0.500
B1 B 0.117 0.617 0.000
```

Calculated values
**DFT total energy**: -81.99 eV for the cell shown
**Theoretical density**: 7.0 g/cm³
**DFT formation energy**: -106 kJ/mol of formula units

***

Pm5PrAg6 after structural relaxation. Source: Alexandria, functional GGA-PBE.

```
data_Pm5PrAg6
_cell_length_a 5.324
_cell_length_b 15.970
_cell_length_c 7.392
_cell_angle_alpha 90.00
_cell_angle_beta 90.00
_cell_angle_gamma 90.00
_space_group_name_H-M_alt 'C m m m'
_space_group_IT_number 65
_space_group_name_Hall '-C 2 2'
loop_
_atom_site_label
_atom_site_type_symbol
_atom_site_fract_x
_atom_site_fract_y
_atom_site_fract_z
Pm1 Pm 0.000 0.000 0.000
Pm2 Pm 0.000 0.333 0.500
Pm3 Pm 0.000 0.334 0.000
Pr1 Pr 0.000 0.000 0.500
Ag1 Ag 0.000 0.168 0.248
Ag2 Ag 0.000 0.500 0.246
```

Calculated values
**DFT total energy**: -97.64 eV for the cell shown
**Theoretical density**: 8.0 g/cm³
**DFT formation energy**: -307 kJ/mol of formula units